# 1
LiGa2GeBi: relaxed, PBE-GGA.

Values from the calculation:
**Calculated volume**: 120.17 Å³ per cell

abc: 5.0081 5.0081 4.7912
angles: 90.00 90.00 90.00
Closest atoms and distances in Å follow each position.
Space group P4/mmm (No. 123)
Symmetry-distinct sites (fractional):
Li 0.0000 0.0000 0.0000 [1 per cell]  2 Ge 2.40
Ga 0.0000 0.5000 0.5000 [2 per cell]  2 Ge 2.50
Ge 0.0000 0.0000 0.5000 [1 per cell]  2 Li 2.40, 4 Ga 2.50
Bi 0.5000 0.5000 0.0000 [1 per cell]  8 Ga 3.47, 4 Li 3.54



# 2
Y2TmScP4: relaxed, PBE-GGA.

Values from the calculation:
**Calculated volume**: 172.47 Å³ per cell

abc: 6.8133 3.9392 6.8168
angles: 90.00 109.49 90.00
Closest atoms and distances in Å follow each position.
Space group P2/m (No. 10)
Symmetry-distinct sites (fractional):
Y 0.0000 0.0000 0.0000 [1 per cell]  6 P 2.80
Y 0.0000 0.5000 0.5000 [1 per cell]  6 P 2.84
Tm 0.5000 0.0000 0.5000 [1 per cell]  6 P 2.77
Sc 0.5000 0.5000 0.0000 [1 per cell]  6 P 2.73
P 0.2580 0.5000 0.2478 [2 per cell]  1 Sc 2.73, 2 Tm 2.77, 3 Y 2.80-2.84
P 0.2617 0.0000 0.7588 [2 per cell]  2 Sc 2.73, 1 Tm 2.77, 3 Y 2.80-2.84



# 3
SiTc2Ni: relaxed, PBE-GGA.

Values from the calculation:
**Formation energy without anion corrections**: -21 kJ/mol of formula units
**Calculated volume**: 53.28 Å³ per cell

abc: 2.7112 3.8552 5.1815
angles: 90.00 100.32 90.00
Closest atoms and distances in Å follow each position.
Space group P2/m (No. 10)
Symmetry-distinct sites (fractional):
Si 0.0000 0.0000 0.0000 [1 per cell]  4 Tc 2.46, 2 Ni 2.59, 2 Si 2.71
Tc 0.4007 0.5000 0.2483 [2 per cell]  2 Si 2.46, 4 Tc 2.57-2.72, 4 Ni 2.67-2.70
Ni 0.0000 0.0000 0.5000 [1 per cell]  2 Si 2.59, 8 Tc 2.67-2.70, 2 Ni 2.71



Values of theoretical density, in order: 5.91; 4.96; 8.81, all in Mg/m³.
Values of total magnetic moment, in order: 0.00; 0.00; 0.00, all in μB per formula unit.
Values of E_tot, in order: -15.67; -57.95; -32.16, all in eV/cell.